# GGA-PBE AcTb3Nd2, relaxed
data_AcTb3Nd2
_chemical_formula_sum 'Ac2 Tb6 Nd4'
_cell_length_a 7.1011
_cell_length_b 7.1011
_cell_length_c 9.8976
_cell_angle_alpha 90.00
_cell_angle_beta 90.00
_cell_angle_gamma 120.00
_space_group_name_H-M_alt 'P -3 m 1'
_space_group_IT_number 164
_space_group_name_Hall '-P 3 2"'
loop_
_atom_site_label
_atom_site_fract_x
_atom_site_fract_y
_atom_site_fract_z
Ac1 0.3333 0.6667 0.4452
Tb1 0.1830 0.3660 0.7731
Nd1 0.0000 0.0000 0.0000
Nd2 0.0000 0.0000 0.5000
Nd3 0.3333 0.6667 0.0870
# Polymorph energy (0 for the lowest one) in meV per atom: 36
# Theoretical density in g/cm³: 7.62

# GGA-PBE AcTb2Nd, relaxed
data_AcTb2Nd
_chemical_formula_sum 'Ac1 Tb2 Nd1'
_cell_length_a 3.7430
_cell_length_b 3.7430
_cell_length_c 10.2139
_cell_angle_alpha 90.00
_cell_angle_beta 90.00
_cell_angle_gamma 90.00
_space_group_name_H-M_alt 'P 4/m m m'
_space_group_IT_number 123
_space_group_name_Hall '-P 4 2'
loop_
_atom_site_label
_atom_site_fract_x
_atom_site_fract_y
_atom_site_fract_z
Ac1 0.0000 0.0000 0.0000
Tb1 0.5000 0.5000 0.2603
Nd1 0.0000 0.0000 0.5000
# Polymorph energy (0 for the lowest one) in meV per atom: 5
# Theoretical density in g/cm³: 8.00

# GGA-PBE Ac6Tb5Nd2, relaxed
data_Ac6Tb5Nd2
_chemical_formula_sum 'Ac12 Tb10 Nd4'
_cell_length_a 11.4262
_cell_length_b 23.6609
_cell_length_c 3.7625
_cell_angle_alpha 90.00
_cell_angle_beta 90.00
_cell_angle_gamma 90.00
_space_group_name_H-M_alt 'P b a m'
_space_group_IT_number 55
_space_group_name_Hall '-P 2 2ab'
loop_
_atom_site_label
_atom_site_fract_x
_atom_site_fract_y
_atom_site_fract_z
Ac1 0.0223 0.1109 0.0000
Ac2 0.1477 0.3867 0.0000
Ac3 0.1648 0.6314 0.5000
Tb1 0.0000 0.5000 0.5000
Tb2 0.0885 0.2497 0.5000
Tb3 0.1663 0.9954 0.5000
Nd1 0.1616 0.7691 0.0000
# Theoretical density in g/cm³: 7.98

Total moment? In order: 0.000; 0.000; 0.000 μB per cell.
Calculated formation energy? In order: 0.247; 0.045; 0.169 eV/atom.